#1
CoSi2Ir | Alexandria | meta-GGA SCAN | single point on PBEsol structure; ρ = 10.1 g/cm³
1.0
2.685 0.000 0.000
0.000 2.685 0.000
0.000 0.000 7.026
Co Si Ir
1 2 1
direct
0.000 0.000 0.000 Co
0.000 0.000 0.495 Si
0.500 0.500 0.802 Si
0.500 0.500 0.265 Ir

---

#2
CoSi2Ir | Alexandria | meta-GGA SCAN | single point on PBEsol structure; ρ = 10.2 g/cm³
1.0
5.857 0.000 0.000
0.000 5.857 0.000
0.000 0.000 5.857
Co Si Ir
4 8 4
direct
0.000 0.000 0.000 Co
0.000 0.500 0.500 Co
0.500 0.000 0.500 Co
0.500 0.500 0.000 Co
0.000 0.000 0.500 Si
0.000 0.500 0.000 Si
0.250 0.250 0.250 Si
0.250 0.750 0.750 Si
0.500 0.000 0.000 Si
0.500 0.500 0.500 Si
0.750 0.250 0.750 Si
0.750 0.750 0.250 Si
0.250 0.250 0.750 Ir
0.250 0.750 0.250 Ir
0.750 0.250 0.250 Ir
0.750 0.750 0.750 Ir

---

The computed energies, referenced to the most stable structure and given in meV/atom, are #1 0; #2 169.